No. 1
Here is a relaxed FeSn3 crystal from the Open Quantum Materials Database. Energies are from PBE-GGA.

Summary:
* total magnetic moment: 5.583 μB/cell
* total energy: -4.648 eV per atom
* V: 184.80 Å³/cell

Cell: 4.455 4.455 9.310 Å, 90.00 90.00 90.00°
Space group I4/mmm (No. 139)
Symmetry-distinct sites (fractional):
Fe: 0.000 0.000 0.000
Sn: 0.000 0.000 0.500
Sn: 0.000 0.500 0.250



No. 2
Here is a relaxed CdReNO crystal from the Open Quantum Materials Database. Energies are from PBE-GGA.

Summary:
* total magnetic moment: 0.021 μB/cell
* total energy: -5.715 eV per atom
* V: 95.35 Å³/cell
* energy relative to the lowest polymorph listed for this composition: 1213 meV per atom

Cell: 3.584 3.584 7.423 Å, 90.00 90.00 90.00°
Space group P4/nmm (No. 129, origin choice 2)
Symmetry-distinct sites (fractional):
Cd: 0.250 0.750 0.000
Re: 0.250 0.250 0.348
N: 0.250 0.250 0.765
O: 0.250 0.750 0.500



No. 3
Here is a relaxed Nd2ZrIn crystal from the Open Quantum Materials Database. Energies are from PBE-GGA.

Summary:
* total magnetic moment: 0.081 μB/cell
* total energy: -5.359 eV per atom
* V: 109.84 Å³/cell

Cell: 4.763 4.763 4.841 Å, 90.00 90.00 90.00°
Space group P4/mmm (No. 123)
Symmetry-distinct sites (fractional):
Nd: 0.000 0.500 0.000
Zr: 0.000 0.000 0.500
In: 0.500 0.500 0.500



No. 4
Here is a relaxed Dy3Br2 crystal from the Open Quantum Materials Database. Energies are from PBE-GGA.

Summary:
* total magnetic moment: 0.030 μB/cell
* total energy: -4.044 eV per atom
* V: 828.51 Å³/cell

Cell: 7.0579 7.0579 19.2053 Å, 90.00 90.00 120.00°
Space group R-3c (No. 167, hexagonal axes)
Symmetry-distinct sites (fractional):
Dy: 0.0000 0.3466 0.2500
Br: 0.0000 0.0000 0.1665



No. 5
Here is a relaxed SmS crystal from the Open Quantum Materials Database. Energies are from PBE-GGA.

Summary:
* total magnetic moment: 0.567 μB/cell
* total energy: -6.286 eV per atom
* V: 46.78 Å³/cell
* energy relative to the lowest polymorph listed for this composition: 162 meV per atom

Cell: 3.8253 3.8253 3.6917 Å, 90.00 90.00 120.00°
Space group P-6m2 (No. 187)
Symmetry-distinct sites (fractional):
Sm: 0.0000 0.0000 0.0000
S: 0.3333 0.6667 0.5000



No. 6
Here is a relaxed TmBr2 crystal from the Open Quantum Materials Database. Energies are from PBE-GGA.

Summary:
* total magnetic moment: 0.122 μB/cell
* total energy: -4.033 eV per atom
* V: 181.13 Å³/cell

Cell: 7.072 7.072 3.621 Å, 90.00 90.00 90.00°
Space group P4_2/mnm (No. 136)
Symmetry-distinct sites (fractional):
Tm: 0.000 0.000 0.000
Br: 0.219 0.219 0.500



No. 7
Here is a relaxed AgAu3 crystal from the Open Quantum Materials Database. Energies are from PBE-GGA.

Summary:
* energy relative to the elements: -0.040 eV per atom
* total energy: -3.196 eV per atom
* V: 144.35 Å³/cell
* energy relative to the lowest polymorph listed for this composition: 10 meV per atom

Cell: 4.861 5.857 5.071 Å, 90.00 90.00 90.00°
Space group Pmmn (No. 59, origin choice 2)
Symmetry-distinct sites (fractional):
Ag: 0.250 0.250 0.162
Au: 0.250 0.000 0.665
Au: 0.250 0.750 0.166



No. 8
Here is a relaxed FeAsWAu crystal from the Open Quantum Materials Database. Energies are from PBE-GGA.

Summary:
* total magnetic moment: 8.247 μB/cell
* total energy: -6.849 eV per atom
* V: 245.73 Å³/cell
* energy relative to the lowest polymorph listed for this composition: 0 meV per atom

Cell: 6.264 6.264 6.264 Å, 90.00 90.00 90.00°
Space group F-43m (No. 216)
Symmetry-distinct sites (fractional):
Fe: 0.000 0.000 0.000
As: 0.250 0.250 0.750
W: 0.000 0.000 0.500
Au: 0.250 0.250 0.250



No. 9
Here is a relaxed LuS crystal from the Open Quantum Materials Database. Energies are from PBE-GGA.

Summary:
* total magnetic moment: 0.030 μB/cell
* total energy: -5.816 eV per atom
* V: 210.39 Å³/cell

Cell: 5.948 5.948 5.948 Å, 90.00 90.00 90.00°
Space group F-43m (No. 216)
Symmetry-distinct sites (fractional):
Lu: 0.000 0.000 0.000
S: 0.250 0.250 0.750



No. 10
Here is a relaxed MgSnPt2 crystal from the Open Quantum Materials Database. Energies are from PBE-GGA.

Summary:
* total magnetic moment: 0.009 μB/cell
* total energy: -4.785 eV per atom
* V: 282.91 Å³/cell

Cell: 6.565 6.565 6.565 Å, 90.00 90.00 90.00°
Space group F-43m (No. 216)
Symmetry-distinct sites (fractional):
Mg: 0.000 0.000 0.000
Sn: 0.250 0.250 0.750
Pt: 0.000 0.000 0.500
Pt: 0.250 0.250 0.250



No. 11
Here is a relaxed Nd2Pt2O5 crystal from the Open Quantum Materials Database. Energies are from PBE-GGA.

Summary:
* total magnetic moment: 0.013 μB/cell
* total energy: -6.796 eV per atom
* V: 117.98 Å³/cell
* energy relative to the lowest polymorph listed for this composition: 0 meV per atom

Cell: 4.084 4.084 7.074 Å, 90.00 90.00 90.00°
Space group P4/mmm (No. 123)
Symmetry-distinct sites (fractional):
Nd: 0.000 0.000 0.000
Nd: 0.000 0.000 0.500
Pt: 0.500 0.500 0.192
O: 0.000 0.500 0.237
O: 0.500 0.500 0.500



No. 12
Here is a relaxed TbTcPd crystal from the Open Quantum Materials Database. Energies are from PBE-GGA.

Summary:
* energy relative to the elements: 0.291 eV per atom
* total magnetic moment: 9.189 μB/cell
* total energy: -6.431 eV per atom
* V: 268.32 Å³/cell

Cell: 6.450 6.450 6.450 Å, 90.00 90.00 90.00°
Space group F-43m (No. 216)
Symmetry-distinct sites (fractional):
Tb: 0.000 0.000 0.000
Tc: 0.000 0.000 0.500
Pd: 0.250 0.250 0.250